# 1
Compound: TaRuBr2
Source: Alexandria
Functional: SCAN
Structure: PBEsol geometry

Properties
* uncorrected formation energy: 836 meV per atom
* offset from the most stable computed form: 450 kJ/mol of formula units
* magnetic moment: 0.8 μB/f.u.
* space-group type: P2/m, No. 10

abc: 3.4252 4.4630 4.7883
angles: 90.00 90.31 90.00
Closest atoms and distances in Å follow each position.
Sites, in units of the cell vectors:
Ru (0.5000, 0.5000, 0.5000)  4 Br 2.68, 4 Ta 2.94-2.95
Br (0.7595, 0.0000, 0.7479)  2 Ta 2.67, 2 Ru 2.68, 3 Br 2.90-2.96
Br (0.2405, 0.0000, 0.2521)  2 Ta 2.67, 2 Ru 2.68, 3 Br 2.90-2.96
Ta (0.0000, 0.5000, 0.0000)  4 Br 2.67, 4 Ru 2.94-2.95

***

# 2
Compound: TaRu2Br
Source: Alexandria
Functional: SCAN
Structure: PBEsol geometry

Properties
* uncorrected formation energy: 364 meV per atom
* offset from the most stable computed form: 44 kJ/mol of formula units
* magnetic moment: 0.0 μB/f.u.
* space-group type: Pmm2, No. 25

abc: 2.9919 3.4947 7.1691
angles: 90.00 90.00 90.00
Closest atoms and distances in Å follow each position.
Sites, in units of the cell vectors:
Ru (0.0000, 0.0000, 0.1077)  4 Ru 2.48, 1 Ta 2.48
Ru (0.5000, 0.5000, 0.2362)  4 Ru 2.48
Br (0.5000, 0.5000, 0.7021)  4 Ta 2.91, 2 Br 2.99
Ta (0.0000, 0.0000, 0.4540)  5 Ru 2.48-2.78

***

# 3
Compound: Ta2RuBr
Source: Alexandria
Functional: SCAN
Structure: PBEsol geometry

Properties
* uncorrected formation energy: 388 meV per atom
* magnetic moment: 0.0 μB/f.u.
* space-group type: P2/m, No. 10

abc: 2.9552 4.0967 5.6209
angles: 90.00 103.34 90.00
Closest atoms and distances in Å follow each position.
Sites, in units of the cell vectors:
Ru (0.5000, 0.5000, 0.5000)  8 Ta 2.70-2.99, 2 Br 2.81, 2 Ru 2.96
Br (0.5000, 0.5000, 0.0000)  4 Ta 2.75, 2 Ru 2.81, 2 Br 2.96
Ta (0.0080, 0.0000, 0.7343)  1 Ta 2.62, 2 Ru 2.70, 2 Br 2.75
Ta (0.9920, 0.0000, 0.2657)  1 Ta 2.62, 2 Ru 2.70, 2 Br 2.75

***

# 4
Compound: TaRuBr
Source: Alexandria
Functional: SCAN
Structure: PBEsol geometry

Properties
* uncorrected formation energy: 720 meV per atom
* magnetic moment: 0.0 μB/f.u.
* space-group type: F-43m, No. 216

abc: 4.3270 4.3270 4.3270
angles: 60.00 60.00 60.00
Closest atoms and distances in Å follow each position.
Sites, in units of the cell vectors:
Ru (0.7500, 0.7500, 0.7500)  4 Ta 2.65, 4 Br 2.65
Br (0.5000, 0.5000, 0.5000)  4 Ru 2.65
Ta (0.0000, 0.0000, 0.0000)  4 Ru 2.65

***

# 5
Compound: TaRu2Br
Source: Alexandria
Functional: SCAN
Structure: PBEsol geometry

Properties
* uncorrected formation energy: 250 meV per atom
* offset from the most stable computed form: 0 kJ/mol of formula units
* magnetic moment: 0.0 μB/f.u.
* space-group type: R-3m, No. 166

abc: 3.0552 3.0552 8.3855
angles: 79.50 79.50 60.00
Closest atoms and distances in Å follow each position.
Sites, in units of the cell vectors:
Ru (0.2444, 0.2444, 0.2668)  3 Ta 2.60, 3 Br 2.81
Ru (0.7556, 0.7556, 0.7332)  3 Ta 2.60, 3 Br 2.81
Br (0.0000, 0.0000, 0.0000)  6 Ru 2.81, 6 Br 3.06
Ta (0.5000, 0.5000, 0.5000)  6 Ru 2.60

***

# 6
Compound: TaRuBr2
Source: Alexandria
Functional: SCAN
Structure: PBEsol geometry

Properties
* uncorrected formation energy: -329 meV per atom
* offset from the most stable computed form: 0 kJ/mol of formula units
* magnetic moment: 0.0 μB/f.u.
* space-group type: Cm, No. 8

abc: 3.2215 3.5679 8.9593
angles: 81.60 79.64 63.16
Closest atoms and distances in Å follow each position.
Sites, in units of the cell vectors:
Ru (0.5246, 0.4112, 0.5396)  1 Ta 2.31
Br (0.0441, 0.9742, 0.9376)  2 Ta 2.66
Br (0.1958, 0.2941, 0.3143)  2 Ru 2.60
Ta (0.7355, 0.8206, 0.7085)  1 Ru 2.31

***

# 7
Compound: TaRuBr2
Source: Alexandria
Functional: SCAN
Structure: PBEsol geometry

Properties
* uncorrected formation energy: 781 meV per atom
* offset from the most stable computed form: 428 kJ/mol of formula units
* magnetic moment: 2.1 μB/f.u.
* space-group type: R-3m, No. 166

abc: 3.1592 3.1592 8.9662
angles: 79.85 79.85 60.00
Closest atoms and distances in Å follow each position.
Sites, in units of the cell vectors:
Ru (0.5000, 0.5000, 0.5000)  6 Br 2.63
Br (0.9052, 0.9052, 0.2845)  1 Ta 2.50, 3 Ru 2.63
Br (0.0948, 0.0948, 0.7155)  1 Ta 2.50, 3 Ru 2.63
Ta (0.0000, 0.0000, 0.0000)  2 Br 2.50

***

# 8
Compound: TaRuBr2
Source: Alexandria
Functional: SCAN
Structure: PBEsol geometry

Properties
* uncorrected formation energy: 953 meV per atom
* offset from the most stable computed form: 495 kJ/mol of formula units
* magnetic moment: 0.7 μB/f.u.
* space-group type: P4/mmm, No. 123

abc: 3.2139 3.2139 6.3019
angles: 90.00 90.00 90.00
Closest atoms and distances in Å follow each position.
Sites, in units of the cell vectors:
Ru (0.5000, 0.5000, 0.0000)  8 Br 2.78
Br (0.0000, 0.0000, 0.7473)  4 Ta 2.76, 4 Ru 2.78
Br (0.0000, 0.0000, 0.2527)  4 Ta 2.76, 4 Ru 2.78
Ta (0.5000, 0.5000, 0.5000)  8 Br 2.76

***

# 9
Compound: TaRu2Br
Source: Alexandria
Functional: SCAN
Structure: PBEsol geometry

Properties
* uncorrected formation energy: 678 meV per atom
* offset from the most stable computed form: 165 kJ/mol of formula units
* magnetic moment: 0.0 μB/f.u.
* space-group type: C2/m, No. 12

abc: 2.9273 4.8484 5.1554
angles: 116.66 104.38 94.34
Closest atoms and distances in Å follow each position.
Sites, in units of the cell vectors:
Ru (0.0000, 0.0000, 0.5000)  2 Br 2.63, 2 Ta 2.63, 6 Ru 2.74-2.93
Ru (0.5000, 0.5000, 0.5000)  2 Ta 2.63, 2 Br 2.63, 6 Ru 2.74-2.93
Br (0.0000, 0.5000, 0.0000)  4 Ru 2.63, 4 Ta 2.74-2.92, 2 Br 2.93
Ta (0.5000, 0.0000, 0.0000)  4 Ru 2.63, 4 Br 2.74-2.92, 2 Ta 2.93

***

# 10
Compound: TcRuBr
Source: Alexandria
Functional: SCAN
Structure: PBEsol geometry

Properties
* uncorrected formation energy: 1081 meV per atom
* offset from the most stable computed form: 34 kJ/mol of formula units
* magnetic moment: 1.7 μB/f.u.
* space-group type: F-43m, No. 216

abc: 4.1957 4.1957 4.1957
angles: 60.00 60.00 60.00
Closest atoms and distances in Å follow each position.
Sites, in units of the cell vectors:
Ru (0.2500, 0.2500, 0.2500)  4 Tc 2.57, 4 Br 2.57
Tc (0.0000, 0.0000, 0.0000)  4 Ru 2.57
Br (0.5000, 0.5000, 0.5000)  4 Ru 2.57

***

# 11
Compound: TcRuBr2
Source: Alexandria
Functional: SCAN
Structure: PBEsol geometry

Properties
* uncorrected formation energy: 1108 meV per atom
* offset from the most stable computed form: 248 kJ/mol of formula units
* magnetic moment: 1.6 μB/f.u.
* space-group type: C2/m, No. 12

abc: 3.1013 5.1655 5.1655
angles: 110.60 105.45 105.45
Closest atoms and distances in Å follow each position.
Sites, in units of the cell vectors:
Ru (0.0000, 0.0000, 0.0000)  4 Br 2.58
Tc (0.0000, 0.5000, 0.5000)  4 Br 2.58
Br (0.0000, 0.5000, 0.0000)  2 Tc 2.58, 2 Ru 2.58
Br (0.0000, 0.0000, 0.5000)  2 Ru 2.58, 2 Tc 2.58

***

# 12
Compound: TcRuBr2
Source: Alexandria
Functional: SCAN
Structure: PBEsol geometry

Properties
* uncorrected formation energy: 1292 meV per atom
* offset from the most stable computed form: 319 kJ/mol of formula units
* magnetic moment: 3.0 μB/f.u.
* space-group type: I-4m2, No. 119

abc: 3.7000 3.7000 5.5011
angles: 109.65 109.65 90.00
Closest atoms and distances in Å follow each position.
Sites, in units of the cell vectors:
Ru (0.5000, 0.5000, 0.0000)  4 Br 2.62
Tc (0.2500, 0.7500, 0.5000)  4 Br 2.62
Br (0.0000, 0.0000, 0.0000)  4 Ru 2.62
Br (0.7500, 0.2500, 0.5000)  4 Tc 2.62

***

no.,V (Å³/f.u.)
1,73.2
2,75.0
3,66.2
4,57.3
5,66.3
6,90.1
7,75.9
8,65.1
9,61.8
10,52.2
11,68.5
12,66.2